# NdGa2CuPd

Crystalline NdGa2CuPd at its relaxed geometry (PBE, the Open Quantum Materials Database). Values from VASP.

Structure (Quantum ESPRESSO input):
```
&SYSTEM
  ibrav = 0, nat = 10, ntyp = 4
/
ATOMIC_SPECIES
Pd 106.42 Pd.upf
Ga 69.72 Ga.upf
Cu 63.55 Cu.upf
Nd 144.24 Nd.upf
CELL_PARAMETERS angstrom
4.252 0.000 0.000
0.000 4.252 0.000
0.000 0.000 10.304
ATOMIC_POSITIONS angstrom
Pd 2.126 2.126 0.000
Ga 2.126 2.126 5.152
Cu 2.126 0.000 6.458
Ga 2.126 0.000 8.886
Ga 0.000 0.000 5.152
Pd 0.000 0.000 0.000
Cu 0.000 2.126 3.846
Nd 2.126 0.000 2.634
Ga 0.000 2.126 1.418
Nd 0.000 2.126 7.670
```

Values from the calculation:
SG	P4/nmm
spin magnetization	0.00	μB per cell
distance to the lowest polymorph of the same formula	0.000	kcal/mol of atoms
final energy	-4.568	eV per atom